PBE+U LiBeVF6, relaxed; electronic total energy = -5.54 eV per atom; space-group type = No. 163
1.0
4.9101 0.0000 0.0000
-2.4550 4.2523 0.0000
0.0000 0.0000 8.9644
Li Be V F
2 2 2 12
Direct
0.0000 0.0000 0.0000
0.0000 0.0000 0.5000
0.3333 0.6667 0.2500
0.6667 0.3333 0.7500
0.3333 0.6667 0.7500
0.6667 0.3333 0.2500
0.0302 0.3702 0.1383
0.0302 0.6600 0.3617
0.3400 0.3702 0.3617
0.3400 0.9698 0.1383
0.3702 0.0302 0.6383
0.3702 0.3400 0.8617
0.6298 0.6600 0.1383
0.6298 0.9698 0.3617
0.6600 0.0302 0.8617
0.6600 0.6298 0.6383
0.9698 0.3400 0.6383
0.9698 0.6298 0.8617

=====

PBE+U Li2BeVF6, relaxed; electronic total energy = -5.47 eV per atom; space-group type = No. 1
1.0
4.9984 0.0000 0.0000
-2.4975 4.3364 0.0000
-2.4911 -1.4445 4.4867
Li Be V F
2 1 1 6
Direct
0.0000 0.0000 0.0000
0.0060 0.5030 0.5083
0.4199 0.7089 0.1283
0.4159 0.2076 0.6232
0.2503 0.9104 0.8665
0.2670 0.7978 0.3299
0.5277 0.6166 0.8673
0.5324 0.4682 0.3298
0.8622 0.0635 0.3296
0.9566 0.3396 0.8668

=====

Repeat the second record exactly.
PBE+U Li2BeVF6, relaxed; electronic total energy = -5.47 eV per atom; space-group type = No. 1
1.0
4.9984 0.0000 0.0000
-2.4975 4.3364 0.0000
-2.4911 -1.4445 4.4867
Li Be V F
2 1 1 6
Direct
0.0000 0.0000 0.0000
0.0060 0.5030 0.5083
0.4199 0.7089 0.1283
0.4159 0.2076 0.6232
0.2503 0.9104 0.8665
0.2670 0.7978 0.3299
0.5277 0.6166 0.8673
0.5324 0.4682 0.3298
0.8622 0.0635 0.3296
0.9566 0.3396 0.8668

=====

Copy entry 2 word for word.
PBE+U Li2BeVF6, relaxed; electronic total energy = -5.47 eV per atom; space-group type = No. 1
1.0
4.9984 0.0000 0.0000
-2.4975 4.3364 0.0000
-2.4911 -1.4445 4.4867
Li Be V F
2 1 1 6
Direct
0.0000 0.0000 0.0000
0.0060 0.5030 0.5083
0.4199 0.7089 0.1283
0.4159 0.2076 0.6232
0.2503 0.9104 0.8665
0.2670 0.7978 0.3299
0.5277 0.6166 0.8673
0.5324 0.4682 0.3298
0.8622 0.0635 0.3296
0.9566 0.3396 0.8668